No. 1
The following is a DFT calculation (PBE) of a geometry-optimized CaTe2F structure.

a = 3.4328 Å, b = 3.4328 Å, c = 30.7994 Å
α = 90.00°, β = 90.00°, γ = 120.00°
Space group R-3m (No. 166, hexagonal axes)
Asymmetric unit:
Ca1 0.0000 0.0000 0.0000 x3
Te1 0.0000 0.0000 0.1002 x6
F1 0.0000 0.0000 0.5000 x3

As for the crystal system: trigonal. Its polymorph energy (0 for the lowest one) is 1079 meV per atom.

=====

No. 2
The following is a DFT calculation (PBE) of a geometry-optimized CaTe3F structure.

a = 5.054 Å, b = 5.054 Å, c = 5.054 Å
α = 90.00°, β = 90.00°, γ = 90.00°
Space group Pm-3m (No. 221)
Asymmetric unit:
Ca1 0.000 0.000 0.000 x1
Te1 0.000 0.500 0.500 x3
F1 0.500 0.500 0.500 x1

As for the crystal system: cubic. Its polymorph energy (0 for the lowest one) is 0 meV per atom.

=====

No. 3
The following is a DFT calculation (PBE) of a geometry-optimized CaTe2F structure.

a = 4.9924 Å, b = 4.9924 Å, c = 21.3002 Å
α = 90.00°, β = 90.00°, γ = 120.00°
Space group R-3m (No. 166, hexagonal axes)
Asymmetric unit:
Ca1 0.0000 0.0000 0.0000 x3
Te1 0.0000 0.0000 0.3949 x6
F1 0.0000 0.0000 0.5000 x3

As for the crystal system: trigonal. Its polymorph energy (0 for the lowest one) is 390 meV per atom.

=====

No. 4
The following is a DFT calculation (PBE) of a geometry-optimized CaTeF2 structure.

a = 6.777 Å, b = 6.777 Å, c = 8.560 Å
α = 90.00°, β = 90.00°, γ = 90.00°
Space group I-42d (No. 122)
Asymmetric unit:
Ca1 0.000 0.000 0.000 x4
Te1 0.000 0.000 0.500 x4
F1 0.109 0.250 0.125 x8

As for the crystal system: tetragonal. Its polymorph energy (0 for the lowest one) is 0 meV per atom.

=====

no.,formation energy from raw total energies (eV per formula unit)
1,-1.09
2,-3.28
3,-3.84
4,-9.20